FeTe2HI | Alexandria | PBE | relaxed; spin magnetization = 0.699 μB/atom; E_tot = -0.1179 hartree per atom; excess energy over the best structure of this formula in the dataset = 0.0 kJ per mole of atoms
1.0
4.287 0.000 0.000
0.000 4.287 0.000
0.000 0.000 7.422
Fe Te H I
1 2 1 1
Cartesian
0.000 0.000 0.000
0.000 2.144 3.711
2.144 0.000 3.711
2.144 2.144 3.711
2.144 2.144 0.000


TlFe2HI | Alexandria | PBE | relaxed; spin magnetization = 0.838 μB/atom; E_tot = -0.1378 hartree per atom
1.0
4.951 0.000 0.000
0.000 4.951 0.000
0.000 0.000 3.703
Tl Fe H I
1 2 1 1
Cartesian
0.000 0.000 0.000
0.000 2.475 1.851
2.475 0.000 1.851
2.475 2.475 0.000
2.475 2.475 1.851


VFe2HI | Alexandria | PBE | relaxed; spin magnetization = 1.109 μB/atom; E_tot = -0.1986 hartree per atom
1.0
3.688 0.000 0.000
0.000 3.688 0.000
0.000 0.000 4.996
V Fe H I
1 2 1 1
Cartesian
0.000 0.000 0.000
0.000 1.844 2.498
1.844 0.000 2.498
1.844 1.844 2.498
1.844 1.844 0.000


In2FeH2 | Alexandria | PBE | relaxed; spin magnetization = 0.458 μB/atom; E_tot = -0.1334 hartree per atom
1.0
-1.527 1.527 6.948
1.527 -1.527 6.948
1.527 1.527 -6.948
In Fe H
2 1 2
Cartesian
0.000 0.000 1.836
0.000 0.000 12.059
0.000 0.000 6.948
1.527 0.000 3.474
0.000 1.527 3.474


InFeH | Alexandria | PBE | relaxed; spin magnetization = 0.639 μB/atom; E_tot = -0.1721 hartree per atom
1.0
4.766 -1.737 0.000
4.766 1.737 0.000
-2.159 0.000 4.933
In Fe H
2 2 2
Cartesian
0.481 0.000 1.488
6.892 0.000 3.445
-0.052 0.000 4.182
7.425 0.000 0.751
3.122 0.000 0.647
4.251 0.000 4.286


InFe2H2 | Alexandria | PBE | relaxed; spin magnetization = 0.732 μB/atom; E_tot = -0.1899 hartree per atom
1.0
-1.559 1.559 4.974
1.559 -1.559 4.974
1.559 1.559 -4.974
In Fe H
1 2 2
Cartesian
0.000 0.000 0.000
0.000 0.000 3.261
0.000 0.000 6.686
1.559 0.000 2.487
0.000 1.559 2.487


What did the fourth record say?
In2FeH2 | Alexandria | PBE | relaxed; spin magnetization = 0.458 μB/atom; E_tot = -0.1334 hartree per atom
1.0
-1.527 1.527 6.948
1.527 -1.527 6.948
1.527 1.527 -6.948
In Fe H
2 1 2
Cartesian
0.000 0.000 1.836
0.000 0.000 12.059
0.000 0.000 6.948
1.527 0.000 3.474
0.000 1.527 3.474


Question: Number 1 is which compound?
Answer: FeTe2HI


Question: Which formula does entry 4 have?
Answer: In2FeH2